A plane-wave DFT calculation with GGA-PBE was carried out for an optimized crystal structure of Li3ThPt2.

Values from the calculation:
The calculation puts the total DFT energy (no corrections) at -59.0 eV for the cell shown. The crystal system is monoclinic. The calculation puts the density of states at the Fermi level at 5.7 states/eV/cell. As for the space-group type: C2/m, No. 12. For the calculated formation energy, the calculation gives -708 meV/atom.

a = 4.048 Å, b = 7.495 Å, c = 8.423 Å
α = 117.10°, β = 90.00°, γ = 105.67°
Sites, in units of the cell vectors:
Li 0.413 0.826 0.324
Li 0.065 0.130 0.404
Li 0.293 0.587 0.480
Li 0.707 0.413 0.520
Li 0.935 0.870 0.596
Li 0.587 0.174 0.676
Pt 0.220 0.440 0.751
Pt 0.457 0.914 0.811
Pt 0.780 0.560 0.249
Pt 0.543 0.086 0.189
Th 0.867 0.733 0.981
Th 0.133 0.267 0.019

A plane-wave DFT calculation with GGA-PBE was carried out for an optimized crystal structure of ZrTiCuPd.

Values from the calculation:
The calculation puts the total DFT energy (no corrections) at -27.2 eV for the cell shown. The crystal system is tetragonal. The calculation puts the density of states at the Fermi level at 2.0 states/eV/cell. As for the space-group type: P4mm, No. 99. For the calculated formation energy, the calculation gives -361 meV/atom.

a = 3.263 Å, b = 3.263 Å, c = 6.295 Å
α = 90.00°, β = 90.00°, γ = 90.00°
Sites, in units of the cell vectors:
Cu 0.500 0.500 0.588
Ti 0.500 0.500 0.141
Zr 0.000 0.000 0.840
Pd 0.000 0.000 0.360

A plane-wave DFT calculation with GGA-PBE was carried out for an optimized crystal structure of CsPa2Te6Au2.

Values from the calculation:
The calculation puts the total DFT energy (no corrections) at -51.9 eV for the cell shown. The crystal system is triclinic. As for the formation energy from raw total energies: -0.60 eV per atom. The calculation puts the density of states at the Fermi level at 8.2 states/eV/cell. As for the space-group type: P-1, No. 2.

a = 8.292 Å, b = 8.827 Å, c = 8.714 Å
α = 122.91°, β = 90.43°, γ = 59.80°
Site moments in Bohr magnetons follow the coordinates.
Sites, in units of the cell vectors:
Te 0.021 0.412 0.163  -0.03
Te 0.416 0.776 0.036  -0.02
Te 0.818 0.175 0.436  -0.03
Te 0.584 0.224 0.964  -0.02
Te 0.979 0.588 0.837  -0.03
Te 0.182 0.825 0.564  -0.03
Au 0.804 0.274 0.190  0.00
Au 0.196 0.726 0.810  0.00
Pa 0.162 0.670 0.154  0.61
Pa 0.838 0.330 0.846  0.61
Cs 0.500 0.000 0.500  0.00

A plane-wave DFT calculation with GGA-PBE was carried out for an optimized crystal structure of Sc3Fe5.

Values from the calculation:
The calculation puts the total DFT energy (no corrections) at -61.1 eV for the cell shown. The crystal system is orthorhombic. The calculation puts the density of states at the Fermi level at 8.9 states/eV/cell. As for the space-group type: Cmmm, No. 65. For the calculated formation energy, the calculation gives 20 meV/atom.

a = 5.348 Å, b = 5.348 Å, c = 4.321 Å
α = 90.00°, β = 90.00°, γ = 110.12°
Site moments in Bohr magnetons follow the coordinates.
Sites, in units of the cell vectors:
Sc 0.500 0.500 0.000  -0.36
Sc 0.253 0.747 0.500  -0.40
Sc 0.747 0.253 0.500  -0.40
Fe 0.000 0.500 0.000  1.44
Fe 0.500 0.000 0.000  1.44
Fe 0.790 0.790 0.500  1.89
Fe 0.000 0.000 0.000  2.35
Fe 0.210 0.210 0.500  1.89

A plane-wave DFT calculation with GGA-PBE was carried out for an optimized crystal structure of Cu3Si2.

Values from the calculation:
The calculation puts the total DFT energy (no corrections) at -22.9 eV for the cell shown. The crystal system is trigonal. As for the formation energy from raw total energies: 0.04 eV per atom. The calculation puts the density of states at the Fermi level at 1.0 states/eV/cell. As for the space-group type: R-3m, No. 166.

a = 10.041 Å, b = 10.041 Å, c = 10.041 Å
α = 15.53°, β = 15.53°, γ = 15.53°
Sites, in units of the cell vectors:
Cu 0.201 0.201 0.201
Cu 0.000 0.000 0.000
Cu 0.799 0.799 0.799
Si 0.599 0.599 0.599
Si 0.401 0.401 0.401

A plane-wave DFT calculation with GGA-PBE was carried out for an optimized crystal structure of Sr2BrCl.

Values from the calculation:
The calculation puts the total DFT energy (no corrections) at -13.3 eV for the cell shown. The crystal system is tetragonal. As for the formation energy from raw total energies: -1.60 eV per atom. The calculation puts the density of states at the Fermi level at 1.5 states/eV/cell. As for the space-group type: P4mm, No. 99.

a = 4.098 Å, b = 4.098 Å, c = 8.342 Å
α = 90.00°, β = 90.00°, γ = 90.00°
Sites, in units of the cell vectors:
Sr 0.500 0.500 0.318
Sr 0.000 0.000 0.905
Br 0.000 0.000 0.497
Cl 0.500 0.500 0.780

A plane-wave DFT calculation with GGA-PBE was carried out for an optimized crystal structure of BeGaMoBr2.

Values from the calculation:
The calculation puts the total DFT energy (no corrections) at -16.4 eV for the cell shown. The crystal system is tetragonal. As for the formation energy from raw total energies: 0.90 eV per atom. The calculation puts the density of states at the Fermi level at 0.3 states/eV/cell. As for the space-group type: P4/mmm, No. 123.

a = 5.623 Å, b = 4.310 Å, c = 5.623 Å
α = 90.00°, β = 90.00°, γ = 90.00°
Site moments in Bohr magnetons follow the coordinates.
Sites, in units of the cell vectors:
Ga 0.000 0.000 0.000  0.00
Be 0.000 0.500 0.000  0.00
Br 0.500 0.000 0.000  0.03
Br 0.000 0.000 0.500  0.00
Mo 0.500 0.500 0.500  4.00

A plane-wave DFT calculation with GGA-PBE was carried out for an optimized crystal structure of PuScSi4.

Values from the calculation:
The calculation puts the total DFT energy (no corrections) at -180.3 eV for the cell shown. The crystal system is orthorhombic. As for the formation energy from raw total energies: -0.45 eV per atom. The calculation puts the density of states at the Fermi level at 36.5 states/eV/cell. As for the space-group type: Pbam, No. 55.

a = 3.732 Å, b = 6.984 Å, c = 16.127 Å
α = 90.00°, β = 90.00°, γ = 90.00°
Site moments in Bohr magnetons follow the coordinates.
Sites, in units of the cell vectors:
Si 0.500 0.086 0.814  -0.02
Si 0.500 0.415 0.814  -0.02
Si 0.500 0.918 0.939  -0.01
Si 0.500 0.582 0.939  -0.01
Si 0.500 0.582 0.439  -0.01
Si 0.500 0.585 0.186  -0.02
Si 0.500 0.414 0.314  -0.02
Si 0.500 0.914 0.186  -0.02
Si 0.500 0.082 0.061  -0.01
Si 0.500 0.082 0.561  -0.01
Si 0.500 0.085 0.314  -0.02
Si 0.500 0.586 0.686  -0.02
Si 0.500 0.418 0.061  -0.01
Si 0.500 0.915 0.686  -0.02
Si 0.500 0.918 0.439  -0.01
Si 0.500 0.418 0.561  -0.01
Pu 0.000 0.250 0.684  5.06
Pu 0.000 0.750 0.316  5.06
Pu 0.000 0.750 0.816  5.06
Pu 0.000 0.250 0.184  5.06
Sc 0.000 0.250 0.438  -0.04
Sc 0.000 0.750 0.062  -0.04
Sc 0.000 0.750 0.562  -0.04
Sc 0.000 0.250 0.938  -0.04